# 1
Material: Ba2LaNbCl
Method: DFT, PBE
State: optimized geometry

- Energy relative to the elements, uncorrected: 0.219 eV per atom
- Electronic total energy: -3.919 eV per atom

Geometry as POSCAR:
```
Ba2LaNbCl
1.0
5.814 0.000 0.000
0.000 5.582 0.000
0.000 0.000 5.814
Nb Cl Ba La
1 1 2 1
Cartesian
2.907 2.791 2.907 Nb
0.000 0.000 0.000 Cl
0.000 0.000 2.907 Ba
2.907 0.000 0.000 Ba
0.000 2.791 0.000 La
```

***

# 2
Material: Fe2CoBr6
Method: DFT, PBE
State: optimized geometry

- Energy relative to the elements, uncorrected: -0.294 eV per atom
- Electronic total energy: -4.079 eV per atom

Geometry as POSCAR:
```
Fe2CoBr6
1.0
-2.681 2.171 1.103
-2.418 -2.373 -7.155
-3.132 -7.054 6.275
Fe Co Br
2 1 6
Cartesian
-4.383 -6.928 2.984 Fe
-3.848 -0.328 -2.761 Fe
-1.566 -3.527 3.137 Co
-2.862 -5.722 4.309 Br
-2.009 -1.637 -1.661 Br
-6.222 -5.619 1.884 Br
-4.568 -4.609 -2.031 Br
-3.663 -2.647 2.254 Br
-5.369 -1.534 -4.087 Br
```

***

# 3
Material: ReHg2Sb
Method: DFT, PBE
State: optimized geometry

- Energy relative to the elements, uncorrected: 0.782 eV per atom
- Electronic total energy: -3.512 eV per atom

Geometry as POSCAR:
```
ReHg2Sb
1.0
4.689 -0.002 -0.007
-2.477 5.678 -0.006
-0.265 0.979 3.178
Hg Re Sb
2 1 1
Cartesian
0.000 0.000 0.000 Hg
2.212 0.489 1.585 Hg
-1.371 3.329 1.586 Re
1.106 2.838 -0.007 Sb
```

***

# 4
Material: La2NdPa
Method: DFT, PBE
State: optimized geometry

- Electronic total energy: -5.761 eV per atom
- ΔE_f: 0.2682 eV/atom
- Relative energy among the computed polymorphs: 136.8 meV/atom

Geometry as POSCAR:
```
La2NdPa
1.0
-2.544 2.043 -3.783
-4.026 -2.792 1.199
-1.624 3.660 3.068
Pa Nd La
1 1 2
Cartesian
-4.097 1.455 0.242 Pa
-1.272 1.021 -1.892 Nd
-0.812 1.830 1.534 La
-2.013 -1.396 0.600 La
```

***

# 5
Material: K2PuMnS4
Method: DFT, PBE
State: optimized geometry

- Energy relative to the elements, uncorrected: -1.117 eV per atom
- Electronic total energy: -6.393 eV per atom

Geometry as POSCAR:
```
K2PuMnS4
1.0
8.237 -0.099 -0.186
-0.106 8.238 -0.185
-4.084 -4.088 5.940
K Pu Mn S
4 2 2 8
Cartesian
0.034 -4.137 5.847 K
2.076 -2.093 2.877 K
-2.042 -2.044 2.970 K
-0.019 -0.018 5.755 K
-4.137 0.031 5.848 Pu
6.142 1.976 2.692 Pu
2.023 2.025 2.785 Mn
-0.106 8.238 -0.184 Mn
-2.327 2.025 5.574 S
4.153 0.161 2.965 S
-0.106 3.890 2.604 S
6.373 2.026 -0.005 S
2.347 2.096 5.357 S
3.973 3.723 2.991 S
0.073 0.328 2.578 S
1.700 1.955 0.213 S
```

***

# 6
Material: HfZnSb2Te
Method: DFT, PBE
State: optimized geometry

- Energy relative to the elements, uncorrected: 0.262 eV per atom
- Electronic total energy: -4.260 eV per atom
- Relative energy among the computed polymorphs: 0.0 meV/atom

Geometry as POSCAR:
```
HfZnSb2Te
1.0
-2.768 4.752 0.785
-2.102 -2.007 4.735
4.294 2.043 2.772
Sb Zn Te Hf
2 1 1 1
Cartesian
-1.051 -1.003 2.367 Sb
-1.384 2.376 0.393 Sb
-0.288 2.394 4.146 Zn
2.147 1.022 1.386 Te
0.000 0.000 0.000 Hf
```

***

| no. | theoretical density (g/cm3) |
| --- | --- |
| 1 | 4.8 |
| 2 | 4.0 |
| 3 | 13.9 |
| 4 | 8.5 |
| 5 | 4.3 |
| 6 | 6.0 |